# ErTiSn, optimized geometry, DFT PBE
# DFT formation energy (meV per atom): -241.2
# Size of the total moment (μB per cell): 1.05
# VASP energy (eV per atom): -5.7281
# ΔE to the lowest computed polymorph (meV/atom): 267
data_ErTiSn
_chemical_formula_sum 'Er2 Ti2 Sn2'
_cell_length_a 3.6212
_cell_length_b 3.6212
_cell_length_c 10.4930
_cell_angle_alpha 90.00
_cell_angle_beta 90.00
_cell_angle_gamma 90.00
_symmetry_space_group_name_H-M 'I 4 m m'
_symmetry_Int_Tables_number 107
_symmetry_space_group_name_Hall 'I 4 -2'
loop_
_atom_site_label
_atom_site_type_symbol
_atom_site_fract_x
_atom_site_fract_y
_atom_site_fract_z
Er1 Er 0.0000 0.0000 0.0000
Ti1 Ti 0.0000 0.0000 0.6749
Sn1 Sn 0.0000 0.0000 0.3120